Entry from Alexandria: an optimized crystal structure of Tl2CrBr2Cl4 (GGA-PBE).

Summary:
The calculation puts the total energy at -3.67 eV/atom. Its formation energy without anion corrections is -85.1 kJ per mole of atoms. As for the symmetry: No. 139. The value obtained for the density of states at the Fermi level is 7.95 states/eV/cell.

Unit cell a=7.1340 b=7.1340 c=7.1340 alpha=88.32 beta=120.98 gamma=120.98
Fractional positions:
Tl1 0.5000 0.7500 0.2500
Tl2 0.5000 0.2500 0.7500
Cr1 0.0000 0.0000 0.0000
Br1 0.0000 0.7573 0.7573
Br2 0.0000 0.2427 0.2427
Cl1 0.0000 0.7691 0.2309
Cl2 0.5383 0.7691 0.7691
Cl3 0.0000 0.2309 0.7691
Cl4 0.4617 0.2309 0.2309

---

Entry from Alexandria: an optimized crystal structure of TlCrBr2Cl (GGA-PBE).

Summary:
The calculation puts the total energy at -4.23 eV/atom. Its formation energy without anion corrections is -77.0 kJ per mole of atoms. As for the symmetry: No. 123. The value obtained for the density of states at the Fermi level is 0.78 states/eV/cell.

Unit cell a=5.3220 b=5.3220 c=4.8778 alpha=90.00 beta=90.00 gamma=90.00
Fractional positions:
Cr1 0.0000 0.0000 0.0000
Tl1 0.5000 0.5000 0.5000
Br1 0.0000 0.5000 0.0000
Br2 0.5000 0.0000 0.0000
Cl1 0.0000 0.0000 0.5000

---

Entry from Alexandria: an optimized crystal structure of TlCrBrCl2 (GGA-PBE).

Summary:
The calculation puts the total energy at -4.36 eV/atom. Its formation energy without anion corrections is -86.0 kJ per mole of atoms. As for the symmetry: No. 123. The value obtained for the density of states at the Fermi level is 0.94 states/eV/cell.

Unit cell a=4.9450 b=4.9450 c=5.3479 alpha=90.00 beta=90.00 gamma=90.00
Fractional positions:
Cr1 0.0000 0.0000 0.0000
Tl1 0.5000 0.5000 0.5000
Br1 0.0000 0.0000 0.5000
Cl1 0.0000 0.5000 0.0000
Cl2 0.5000 0.0000 0.0000

---

Entry from Alexandria: an optimized crystal structure of CrWBrCl2 (GGA-PBE).

Summary:
The calculation puts the total energy at -4.18 eV/atom. Its formation energy without anion corrections is 135.9 kJ per mole of atoms. As for the symmetry: No. 123. The value obtained for the density of states at the Fermi level is 9.74 states/eV/cell.

Unit cell a=6.0938 b=6.0938 c=4.6850 alpha=90.00 beta=90.00 gamma=90.00
Fractional positions:
Cr1 0.5000 0.5000 0.5000
Br1 0.0000 0.0000 0.0000
W1 0.0000 0.0000 0.5000
Cl1 0.0000 0.5000 0.0000
Cl2 0.5000 0.0000 0.0000

---

Entry from Alexandria: an optimized crystal structure of YCrBrCl2 (GGA-PBE).

Summary:
The calculation puts the total energy at -4.12 eV/atom. Its formation energy without anion corrections is 16.5 kJ per mole of atoms. As for the symmetry: No. 123. The value obtained for the density of states at the Fermi level is 6.00 states/eV/cell.

Unit cell a=6.1529 b=4.4945 c=6.1529 alpha=90.00 beta=90.00 gamma=90.00
Fractional positions:
Y1 0.5000 0.5000 0.5000
Cr1 0.0000 0.5000 0.0000
Br1 0.0000 0.0000 0.0000
Cl1 0.0000 0.0000 0.5000
Cl2 0.5000 0.0000 0.0000

---

Entry from Alexandria: an optimized crystal structure of ZnCrBrCl2 (GGA-PBE).

Summary:
The calculation puts the total energy at -3.39 eV/atom. Its formation energy without anion corrections is -13.1 kJ per mole of atoms. As for the symmetry: No. 123. The value obtained for the density of states at the Fermi level is 3.80 states/eV/cell.

Unit cell a=4.3735 b=5.6998 c=4.3735 alpha=90.00 beta=90.00 gamma=90.00
Fractional positions:
Cr1 0.0000 0.0000 0.0000
Zn1 0.0000 0.5000 0.0000
Br1 0.5000 0.5000 0.5000
Cl1 0.0000 0.0000 0.5000
Cl2 0.5000 0.0000 0.0000

---

Entry from Alexandria: an optimized crystal structure of Cs4BrCl2 (GGA-PBE).

Summary:
The calculation puts the total energy at -2.72 eV/atom. Its formation energy without anion corrections is -141.4 kJ per mole of atoms. As for the symmetry: No. 139. The value obtained for the density of states at the Fermi level is 1.75 states/eV/cell.

Unit cell a=6.8583 b=6.8583 c=10.1895 alpha=70.33 beta=70.33 gamma=90.00
Fractional positions:
Cs1 0.7871 0.7871 0.4258
Cs2 0.2129 0.2129 0.5742
Cs3 0.0000 0.5000 0.0000
Cs4 0.5000 0.0000 0.0000
Br1 0.0000 0.0000 0.0000
Cl1 0.6071 0.6071 0.7857
Cl2 0.3929 0.3929 0.2143

---

Entry from Alexandria: an optimized crystal structure of Cs8Br5Cl3 (GGA-PBE).

Summary:
The calculation puts the total energy at -3.15 eV/atom. Its formation energy without anion corrections is -178.5 kJ per mole of atoms. As for the symmetry: No. 166. The value obtained for the density of states at the Fermi level is 0.00 states/eV/cell.

Unit cell a=10.2632 b=10.2632 c=10.3186 alpha=60.18 beta=60.18 gamma=60.00
Fractional positions:
Cs1 0.2501 0.2501 0.7413
Cs2 0.2501 0.7585 0.7413
Cs3 0.7585 0.2501 0.7413
Cs4 0.7540 0.7540 0.7380
Cs5 0.7499 0.7499 0.2587
Cs6 0.7499 0.2415 0.2587
Cs7 0.2415 0.7499 0.2587
Cs8 0.2460 0.2460 0.2620
Br1 0.5000 0.0000 0.0000
Br2 0.5000 0.5000 0.0000
Br3 0.0000 0.0000 0.0000
Br4 0.0000 0.5000 0.0000
Br5 0.5000 0.5000 0.5000
Cl1 0.5000 0.0000 0.5000
Cl2 0.0000 0.0000 0.5000
Cl3 0.0000 0.5000 0.5000

---

Entry from Alexandria: an optimized crystal structure of CsBrCl3 (GGA-PBE).

Summary:
The calculation puts the total energy at -2.27 eV/atom. Its formation energy without anion corrections is -63.6 kJ per mole of atoms. As for the symmetry: No. 194. The value obtained for the density of states at the Fermi level is 2.19 states/eV/cell.

Unit cell a=6.1934 b=6.1934 c=11.2870 alpha=90.00 beta=90.00 gamma=120.00
Fractional positions:
Cs1 0.3333 0.6667 0.7500
Cs2 0.6667 0.3333 0.2500
Br1 0.0000 0.0000 0.0000
Br2 0.0000 0.0000 0.5000
Cl1 0.0000 0.0000 0.2500
Cl2 0.0000 0.0000 0.7500
Cl3 0.3333 0.6667 0.1614
Cl4 0.3333 0.6667 0.3386
Cl5 0.6667 0.3333 0.6614
Cl6 0.6667 0.3333 0.8386

---

Entry from Alexandria: an optimized crystal structure of Cs3Br2Cl (GGA-PBE).

Summary:
The calculation puts the total energy at -3.14 eV/atom. Its formation energy without anion corrections is -178.0 kJ per mole of atoms. As for the symmetry: No. 71. The value obtained for the density of states at the Fermi level is 0.00 states/eV/cell.

Unit cell a=5.1288 b=7.2846 c=8.9363 alpha=114.05 beta=106.68 gamma=90.00
Fractional positions:
Cs1 0.3427 0.3427 0.6855
Cs2 0.0000 0.0000 0.0000
Cs3 0.6573 0.6573 0.3145
Br1 0.6687 0.1687 0.3373
Br2 0.3313 0.8313 0.6627
Cl1 0.0000 0.5000 0.0000

---

Entry from Alexandria: an optimized crystal structure of CsBrCl3 (GGA-PBE).

Summary:
The calculation puts the total energy at -2.47 eV/atom. Its formation energy without anion corrections is -83.0 kJ per mole of atoms. As for the symmetry: No. 1. The value obtained for the density of states at the Fermi level is 0.00 states/eV/cell.

Unit cell a=8.3518 b=6.5250 c=9.9608 alpha=89.41 beta=83.93 gamma=49.62
Fractional positions:
Cs1 0.2766 0.9981 0.9118
Cs2 0.8349 0.8596 0.3485
Br1 0.7475 0.0156 0.7999
Br2 0.9934 0.3030 0.5851
Cl1 0.8045 0.7228 0.9584
Cl2 0.6641 0.3589 0.6256
Cl3 0.2887 0.2731 0.5516
Cl4 0.5596 0.4335 0.1468
Cl5 0.8688 0.3331 0.2057
Cl6 0.2671 0.5191 0.0863

---

Entry from Alexandria: an optimized crystal structure of Cs6Br8Cl (GGA-PBE).

Summary:
The calculation puts the total energy at -2.68 eV/atom. Its formation energy without anion corrections is -127.7 kJ per mole of atoms. As for the symmetry: No. 148. The value obtained for the density of states at the Fermi level is 8.83 states/eV/cell.

Unit cell a=10.8025 b=10.8025 c=9.6479 alpha=55.96 beta=55.96 gamma=60.00
Fractional positions:
Cs1 0.9066 0.6418 0.2393
Cs2 0.7877 0.0934 0.7607
Cs3 0.3582 0.7877 0.7607
Cs4 0.6418 0.2123 0.2393
Cs5 0.2123 0.9066 0.2393
Cs6 0.0934 0.3582 0.7607
Br1 0.7213 0.4705 0.7379
Br2 0.9296 0.2787 0.2621
Br3 0.5295 0.9296 0.2621
Br4 0.2348 0.2348 0.2957
Br5 0.7652 0.7652 0.7043
Br6 0.4705 0.0704 0.7379
Br7 0.0704 0.7213 0.7379
Br8 0.2787 0.5295 0.2621
Cl1 0.0000 0.0000 0.0000

---

Entry from Alexandria: an optimized crystal structure of Cs2Br6Cl (GGA-PBE).

Summary:
The calculation puts the total energy at -2.36 eV/atom. Its formation energy without anion corrections is -81.6 kJ per mole of atoms. As for the symmetry: No. 2. The value obtained for the density of states at the Fermi level is 1.22 states/eV/cell.

Unit cell a=7.0010 b=17.4846 c=10.2824 alpha=126.26 beta=88.54 gamma=139.73
Fractional positions:
Cs1 0.2927 0.7735 0.0256
Cs2 0.7073 0.2265 0.9744
Br1 0.5233 0.3862 0.9823
Br2 0.4767 0.6138 0.0177
Br3 0.6591 0.6568 0.6583
Br4 0.4825 0.1180 0.4916
Br5 0.5175 0.8820 0.5084
Br6 0.3409 0.3432 0.3417
Cl1 0.0000 0.0000 0.0000